(1)
TlCoSb: relaxed, PBE-GGA. Values from VASP.

Values from the calculation:
DOS at the Fermi energy = 1.46 states/eV/cell
SG = No. 107
Formation energy from raw total energies = 0.22 eV/atom

Cell and atoms, written as Quantum ESPRESSO input:
```
&SYSTEM
  ibrav = 0, nat = 3, ntyp = 3
/
ATOMIC_SPECIES
Sb 121.76 Sb.upf
Co 58.93 Co.upf
Tl 204.38 Tl.upf
ATOMIC_POSITIONS crystal
Sb 0.378 0.378 0.622
Co 0.982 0.982 0.018
Tl 0.640 0.640 0.360
CELL_PARAMETERS angstrom
-2.128 -2.905 5.845
-3.885 -4.359 3.609
1.836 -2.602 0.248
```


(2)
Tl2Co2Sb: relaxed, PBE-GGA. Values from VASP.

Values from the calculation:
DOS at the Fermi energy = 7.19 states/eV/cell
Relative energy among the computed polymorphs = 235 meV per atom
SG = No. 139
Formation energy from raw total energies = 0.66 eV/atom

Cell and atoms, written as Quantum ESPRESSO input:
```
&SYSTEM
  ibrav = 0, nat = 5, ntyp = 3
/
ATOMIC_SPECIES
Tl 204.38 Tl.upf
Sb 121.76 Sb.upf
Co 58.93 Co.upf
ATOMIC_POSITIONS crystal
Tl 0.250 0.750 0.500
Tl 0.750 0.250 0.500
Sb 0.000 0.000 0.000
Co 0.410 0.410 0.181
Co 0.590 0.590 0.819
CELL_PARAMETERS angstrom
4.158 0.000 0.000
0.000 4.158 0.000
2.079 2.079 6.066
```


Question: Which value of formation energy from raw total energies does entry 2 give?
Answer: 0.66 eV/atom